No. 1
The following is a DFT calculation (GGA-PBEsol) of a relaxed Li2CuP4O12 crystal.

Computed properties:
Formation energy from raw total energies   -2.0306 eV per atom
Total moment   4.0 μB/cell
Final energy   -133.01 eV/f.u.

CIF file:
```
data_Li2CuP4O12
_cell_length_a 9.292
_cell_length_b 9.325
_cell_length_c 9.883
_cell_angle_alpha 90.00
_cell_angle_beta 90.00
_cell_angle_gamma 90.00
_symmetry_space_group_name_H-M 'P 1'
_symmetry_Int_Tables_number 1
loop_
_symmetry_equiv_pos_as_xyz
'x,y,z'
loop_
_atom_site_label
_atom_site_type_symbol
_atom_site_fract_x
_atom_site_fract_y
_atom_site_fract_z
_atom_site_occupancy
Li1 Li 0.010 0.096 0.171 1
Li2 Li 0.010 0.404 0.171 1
Li3 Li 0.490 0.596 0.671 1
Li4 Li 0.490 0.904 0.671 1
Li5 Li 0.510 0.096 0.329 1
Li6 Li 0.510 0.404 0.329 1
Li7 Li 0.990 0.596 0.829 1
Li8 Li 0.990 0.904 0.829 1
Cu1 Cu 0.001 0.250 0.799 1
Cu2 Cu 0.499 0.750 0.299 1
Cu3 Cu 0.501 0.250 0.701 1
Cu4 Cu 0.999 0.750 0.201 1
P1 P 0.194 0.750 0.613 1
P2 P 0.211 0.536 0.393 1
P3 P 0.211 0.964 0.393 1
P4 P 0.224 0.250 0.531 1
P5 P 0.276 0.750 0.031 1
P6 P 0.289 0.036 0.893 1
P7 P 0.289 0.464 0.893 1
P8 P 0.306 0.250 0.113 1
P9 P 0.694 0.750 0.887 1
P10 P 0.711 0.536 0.107 1
P11 P 0.711 0.964 0.107 1
P12 P 0.724 0.250 0.969 1
P13 P 0.776 0.750 0.469 1
P14 P 0.789 0.036 0.607 1
P15 P 0.789 0.464 0.607 1
P16 P 0.806 0.250 0.387 1
O1 O 0.100 0.750 0.734 1
O2 O 0.114 0.750 0.043 1
O3 O 0.118 0.566 0.272 1
O4 O 0.118 0.934 0.272 1
O5 O 0.129 0.058 0.886 1
O6 O 0.129 0.442 0.886 1
O7 O 0.136 0.250 0.656 1
O8 O 0.144 0.617 0.522 1
O9 O 0.144 0.883 0.522 1
O10 O 0.146 0.250 0.129 1
O11 O 0.175 0.125 0.433 1
O12 O 0.175 0.375 0.433 1
O13 O 0.325 0.625 0.933 1
O14 O 0.325 0.875 0.933 1
O15 O 0.354 0.750 0.629 1
O16 O 0.356 0.117 0.022 1
O17 O 0.356 0.383 0.022 1
O18 O 0.364 0.750 0.156 1
O19 O 0.371 0.558 0.386 1
O20 O 0.371 0.942 0.386 1
O21 O 0.382 0.066 0.772 1
O22 O 0.382 0.434 0.772 1
O23 O 0.386 0.250 0.543 1
O24 O 0.400 0.250 0.234 1
O25 O 0.600 0.750 0.766 1
O26 O 0.614 0.750 0.457 1
O27 O 0.618 0.566 0.228 1
O28 O 0.618 0.934 0.228 1
O29 O 0.629 0.058 0.614 1
O30 O 0.629 0.442 0.614 1
O31 O 0.636 0.250 0.844 1
O32 O 0.644 0.617 0.978 1
O33 O 0.644 0.883 0.978 1
O34 O 0.646 0.250 0.371 1
O35 O 0.675 0.125 0.067 1
O36 O 0.675 0.375 0.067 1
O37 O 0.825 0.625 0.567 1
O38 O 0.825 0.875 0.567 1
O39 O 0.854 0.750 0.871 1
O40 O 0.856 0.117 0.478 1
O41 O 0.856 0.383 0.478 1
O42 O 0.864 0.750 0.344 1
O43 O 0.871 0.558 0.114 1
O44 O 0.871 0.942 0.114 1
O45 O 0.882 0.066 0.728 1
O46 O 0.882 0.434 0.728 1
O47 O 0.886 0.250 0.957 1
O48 O 0.900 0.250 0.266 1
```

---

No. 2
The following is a DFT calculation (GGA-PBEsol) of a relaxed Li9Cu3P8O29 crystal.

Computed properties:
Formation energy from raw total energies   -2.0107 eV per atom
Total moment   11.6 μB/cell
Final energy   -327.79 eV/f.u.

CIF file:
```
data_Li9Cu3P8O29
_cell_length_a 9.660
_cell_length_b 9.660
_cell_length_c 13.575
_cell_angle_alpha 90.00
_cell_angle_beta 90.00
_cell_angle_gamma 120.00
_symmetry_space_group_name_H-M 'P 1'
_symmetry_Int_Tables_number 1
loop_
_symmetry_equiv_pos_as_xyz
'x,y,z'
loop_
_atom_site_label
_atom_site_type_symbol
_atom_site_fract_x
_atom_site_fract_y
_atom_site_fract_z
_atom_site_occupancy
Li1 Li 0.000 0.000 0.000 1
Li2 Li 0.000 0.000 0.500 1
Li3 Li 0.100 0.335 0.063 1
Li4 Li 0.100 0.764 0.563 1
Li5 Li 0.236 0.335 0.563 1
Li6 Li 0.236 0.900 0.063 1
Li7 Li 0.333 0.667 0.377 1
Li8 Li 0.333 0.667 0.877 1
Li9 Li 0.335 0.100 0.437 1
Li10 Li 0.335 0.236 0.937 1
Li11 Li 0.665 0.764 0.063 1
Li12 Li 0.665 0.900 0.563 1
Li13 Li 0.667 0.333 0.123 1
Li14 Li 0.667 0.333 0.623 1
Li15 Li 0.764 0.100 0.937 1
Li16 Li 0.764 0.665 0.437 1
Li17 Li 0.900 0.236 0.437 1
Li18 Li 0.900 0.665 0.937 1
Cu1 Cu 0.000 0.433 0.250 1
Cu2 Cu 0.000 0.567 0.750 1
Cu3 Cu 0.433 0.000 0.250 1
Cu4 Cu 0.433 0.433 0.750 1
Cu5 Cu 0.567 0.000 0.750 1
Cu6 Cu 0.567 0.567 0.250 1
P1 P 0.091 0.319 0.844 1
P2 P 0.091 0.772 0.344 1
P3 P 0.228 0.319 0.344 1
P4 P 0.228 0.909 0.844 1
P5 P 0.319 0.091 0.656 1
P6 P 0.319 0.228 0.156 1
P7 P 0.333 0.667 0.125 1
P8 P 0.333 0.667 0.625 1
P9 P 0.667 0.333 0.375 1
P10 P 0.667 0.333 0.875 1
P11 P 0.681 0.772 0.844 1
P12 P 0.681 0.909 0.344 1
P13 P 0.772 0.091 0.156 1
P14 P 0.772 0.681 0.656 1
P15 P 0.909 0.228 0.656 1
P16 P 0.909 0.681 0.156 1
O1 O 0.000 0.214 0.750 1
O2 O 0.000 0.786 0.250 1
O3 O 0.002 0.228 0.566 1
O4 O 0.002 0.774 0.066 1
O5 O 0.076 0.331 0.346 1
O6 O 0.076 0.745 0.846 1
O7 O 0.111 0.486 0.833 1
O8 O 0.111 0.625 0.333 1
O9 O 0.191 0.506 0.162 1
O10 O 0.191 0.685 0.662 1
O11 O 0.214 0.000 0.750 1
O12 O 0.214 0.214 0.250 1
O13 O 0.226 0.228 0.066 1
O14 O 0.226 0.998 0.566 1
O15 O 0.228 0.002 0.934 1
O16 O 0.228 0.226 0.434 1
O17 O 0.255 0.331 0.846 1
O18 O 0.255 0.924 0.346 1
O19 O 0.315 0.506 0.662 1
O20 O 0.315 0.809 0.162 1
O21 O 0.331 0.076 0.154 1
O22 O 0.331 0.255 0.654 1
O23 O 0.333 0.667 0.013 1
O24 O 0.333 0.667 0.513 1
O25 O 0.375 0.486 0.333 1
O26 O 0.375 0.889 0.833 1
O27 O 0.486 0.111 0.667 1
O28 O 0.486 0.375 0.167 1
O29 O 0.494 0.685 0.162 1
O30 O 0.494 0.809 0.662 1
O31 O 0.506 0.191 0.338 1
O32 O 0.506 0.315 0.838 1
O33 O 0.514 0.625 0.833 1
O34 O 0.514 0.889 0.333 1
O35 O 0.625 0.111 0.167 1
O36 O 0.625 0.514 0.667 1
O37 O 0.667 0.333 0.487 1
O38 O 0.667 0.333 0.987 1
O39 O 0.669 0.745 0.346 1
O40 O 0.669 0.924 0.846 1
O41 O 0.685 0.191 0.838 1
O42 O 0.685 0.494 0.338 1
O43 O 0.745 0.076 0.654 1
O44 O 0.745 0.669 0.154 1
O45 O 0.772 0.774 0.566 1
O46 O 0.772 0.998 0.066 1
O47 O 0.774 0.002 0.434 1
O48 O 0.774 0.772 0.934 1
O49 O 0.786 0.000 0.250 1
O50 O 0.786 0.786 0.750 1
O51 O 0.809 0.315 0.338 1
O52 O 0.809 0.494 0.838 1
O53 O 0.889 0.375 0.667 1
O54 O 0.889 0.514 0.167 1
O55 O 0.924 0.255 0.154 1
O56 O 0.924 0.669 0.654 1
O57 O 0.998 0.226 0.934 1
O58 O 0.998 0.772 0.434 1
```

---

No. 3
The following is a DFT calculation (GGA-PBEsol) of a relaxed Li3CuP2O8 crystal.

Computed properties:
Formation energy from raw total energies   -1.9429 eV per atom
Total moment   4.2 μB/cell
Final energy   -91.01 eV/f.u.

CIF file:
```
data_Li3CuP2O8
_cell_length_a 6.707
_cell_length_b 4.884
_cell_length_c 9.904
_cell_angle_alpha 90.00
_cell_angle_beta 90.12
_cell_angle_gamma 90.00
_symmetry_space_group_name_H-M 'P 1'
_symmetry_Int_Tables_number 1
loop_
_symmetry_equiv_pos_as_xyz
'x,y,z'
loop_
_atom_site_label
_atom_site_type_symbol
_atom_site_fract_x
_atom_site_fract_y
_atom_site_fract_z
_atom_site_occupancy
Li1 Li 0.000 0.066 0.000 1
Li2 Li 0.000 0.934 0.500 1
Li3 Li 0.502 0.072 0.997 1
Li4 Li 0.502 0.928 0.497 1
Li5 Li 0.506 0.429 0.315 1
Li6 Li 0.506 0.571 0.815 1
Cu1 Cu 0.008 0.435 0.305 1
Cu2 Cu 0.008 0.565 0.805 1
P1 P 0.256 0.415 0.558 1
P2 P 0.256 0.585 0.058 1
P3 P 0.746 0.063 0.742 1
P4 P 0.746 0.937 0.242 1
O1 O 0.067 0.456 0.990 1
O2 O 0.067 0.544 0.490 1
O3 O 0.245 0.495 0.713 1
O4 O 0.245 0.505 0.213 1
O5 O 0.249 0.106 0.543 1
O6 O 0.249 0.894 0.043 1
O7 O 0.445 0.460 0.000 1
O8 O 0.445 0.540 0.500 1
O9 O 0.558 0.040 0.311 1
O10 O 0.558 0.960 0.811 1
O11 O 0.754 0.001 0.092 1
O12 O 0.754 0.999 0.592 1
O13 O 0.763 0.381 0.767 1
O14 O 0.763 0.619 0.267 1
O15 O 0.936 0.060 0.315 1
O16 O 0.936 0.940 0.815 1
```

---

No. 4
The following is a DFT calculation (GGA-PBEsol) of a relaxed Li4Cu3SbP4O16 crystal.

Computed properties:
Formation energy from raw total energies   -1.8432 eV per atom
Total moment   2.0 μB/cell
Final energy   -184.19 eV/f.u.

CIF file:
```
data_Li4Cu3SbP4O16
_cell_length_a 4.750
_cell_length_b 6.304
_cell_length_c 10.072
_cell_angle_alpha 90.00
_cell_angle_beta 93.06
_cell_angle_gamma 90.00
_symmetry_space_group_name_H-M 'P 1'
_symmetry_Int_Tables_number 1
loop_
_symmetry_equiv_pos_as_xyz
'x,y,z'
loop_
_atom_site_label
_atom_site_type_symbol
_atom_site_fract_x
_atom_site_fract_y
_atom_site_fract_z
_atom_site_occupancy
Li1 Li 0.000 0.243 0.000 1
Li2 Li 0.000 0.757 0.000 1
Li3 Li 0.549 0.254 0.435 1
Li4 Li 0.549 0.746 0.435 1
Cu1 Cu 0.069 0.500 0.249 1
Cu2 Cu 0.449 0.500 0.755 1
Cu3 Cu 0.571 0.000 0.178 1
Sb1 Sb 0.986 0.000 0.679 1
P1 P 0.109 0.000 0.363 1
P2 P 0.438 0.000 0.885 1
P3 P 0.575 0.500 0.067 1
P4 P 0.939 0.500 0.550 1
O1 O 0.232 0.200 0.299 1
O2 O 0.232 0.800 0.299 1
O3 O 0.239 0.000 0.512 1
O4 O 0.248 0.500 0.071 1
O5 O 0.261 0.500 0.571 1
O6 O 0.300 0.000 0.021 1
O7 O 0.314 0.192 0.800 1
O8 O 0.314 0.808 0.800 1
O9 O 0.676 0.500 0.922 1
O10 O 0.710 0.301 0.136 1
O11 O 0.710 0.699 0.136 1
O12 O 0.759 0.000 0.903 1
O13 O 0.783 0.000 0.363 1
O14 O 0.796 0.304 0.611 1
O15 O 0.796 0.696 0.611 1
O16 O 0.830 0.500 0.401 1
```

---

No. 5
The following is a DFT calculation (GGA-PBEsol) of a relaxed Li4TiCu3P4O16 crystal.

Computed properties:
Formation energy from raw total energies   -2.0225 eV per atom
Total moment   1.0 μB/cell
Final energy   -192.98 eV/f.u.

CIF file:
```
data_Li4TiCu3P4O16
_cell_length_a 4.728
_cell_length_b 5.965
_cell_length_c 10.146
_cell_angle_alpha 90.00
_cell_angle_beta 90.24
_cell_angle_gamma 90.00
_symmetry_space_group_name_H-M 'P 1'
_symmetry_Int_Tables_number 1
loop_
_symmetry_equiv_pos_as_xyz
'x,y,z'
loop_
_atom_site_label
_atom_site_type_symbol
_atom_site_fract_x
_atom_site_fract_y
_atom_site_fract_z
_atom_site_occupancy
Li1 Li 0.000 0.237 0.000 1
Li2 Li 0.000 0.763 0.000 1
Li3 Li 0.514 0.239 0.539 1
Li4 Li 0.514 0.761 0.539 1
Ti1 Ti 0.498 0.500 0.241 1
Cu1 Cu 0.034 0.500 0.737 1
Cu2 Cu 0.504 0.000 0.801 1
Cu3 Cu 0.970 0.000 0.305 1
P1 P 0.084 0.000 0.613 1
P2 P 0.437 0.000 0.120 1
P3 P 0.570 0.500 0.925 1
P4 P 0.919 0.500 0.420 1
O1 O 0.212 0.000 0.471 1
O2 O 0.218 0.206 0.686 1
O3 O 0.218 0.794 0.686 1
O4 O 0.241 0.500 0.407 1
O5 O 0.246 0.500 0.931 1
O6 O 0.286 0.000 0.986 1
O7 O 0.322 0.214 0.195 1
O8 O 0.322 0.786 0.195 1
O9 O 0.690 0.500 0.074 1
O10 O 0.704 0.290 0.862 1
O11 O 0.704 0.710 0.862 1
O12 O 0.760 0.000 0.116 1
O13 O 0.761 0.000 0.609 1
O14 O 0.772 0.302 0.342 1
O15 O 0.772 0.698 0.342 1
O16 O 0.804 0.500 0.560 1
```

---

No. 6
The following is a DFT calculation (GGA-PBEsol) of a relaxed Li4V3CuP4O16 crystal.

Computed properties:
Formation energy from raw total energies   -2.1075 eV per atom
Total moment   8.0 μB/cell
Final energy   -207.27 eV/f.u.

CIF file:
```
data_Li4V3CuP4O16
_cell_length_a 4.682
_cell_length_b 5.962
_cell_length_c 10.170
_cell_angle_alpha 90.00
_cell_angle_beta 90.19
_cell_angle_gamma 90.00
_symmetry_space_group_name_H-M 'P 1'
_symmetry_Int_Tables_number 1
loop_
_symmetry_equiv_pos_as_xyz
'x,y,z'
loop_
_atom_site_label
_atom_site_type_symbol
_atom_site_fract_x
_atom_site_fract_y
_atom_site_fract_z
_atom_site_occupancy
Li1 Li 0.000 0.243 0.000 1
Li2 Li 0.000 0.757 0.000 1
Li3 Li 0.500 0.244 0.480 1
Li4 Li 0.500 0.756 0.480 1
V1 V 0.019 0.500 0.718 1
V2 V 0.488 0.500 0.212 1
V3 V 0.516 0.000 0.766 1
Cu1 Cu 0.956 0.000 0.273 1
P1 P 0.083 0.000 0.587 1
P2 P 0.428 0.000 0.080 1
P3 P 0.583 0.500 0.897 1
P4 P 0.917 0.500 0.395 1
O1 O 0.209 0.000 0.448 1
O2 O 0.220 0.206 0.662 1
O3 O 0.220 0.794 0.662 1
O4 O 0.245 0.500 0.389 1
O5 O 0.257 0.500 0.894 1
O6 O 0.291 0.000 0.939 1
O7 O 0.301 0.212 0.149 1
O8 O 0.301 0.788 0.149 1
O9 O 0.712 0.500 0.037 1
O10 O 0.721 0.295 0.823 1
O11 O 0.721 0.705 0.823 1
O12 O 0.754 0.000 0.075 1
O13 O 0.756 0.000 0.590 1
O14 O 0.770 0.298 0.323 1
O15 O 0.770 0.702 0.323 1
O16 O 0.805 0.500 0.538 1
```

---

No. 7
The following is a DFT calculation (GGA-PBEsol) of a relaxed LiCuRu2Rh2O8 crystal.

Computed properties:
Formation energy from raw total energies   -0.9497 eV per atom
Total moment   0.0 μB/cell
Final energy   -98.21 eV/f.u.

CIF file:
```
data_LiCuRu2Rh2O8
_cell_length_a 6.038
_cell_length_b 6.038
_cell_length_c 6.038
_cell_angle_alpha 125.49
_cell_angle_beta 119.36
_cell_angle_gamma 85.94
_symmetry_space_group_name_H-M 'P 1'
_symmetry_Int_Tables_number 1
loop_
_symmetry_equiv_pos_as_xyz
'x,y,z'
loop_
_atom_site_label
_atom_site_type_symbol
_atom_site_fract_x
_atom_site_fract_y
_atom_site_fract_z
_atom_site_occupancy
Li1 Li 0.000 0.000 0.000 1
Cu1 Cu 0.752 0.252 0.500 1
Ru1 Ru 0.371 0.094 0.723 1
Ru2 Ru 0.371 0.647 0.277 1
Rh1 Rh 0.373 0.620 0.753 1
Rh2 Rh 0.868 0.620 0.247 1
O1 O 0.096 0.850 0.247 1
O2 O 0.142 0.408 0.266 1
O3 O 0.142 0.876 0.734 1
O4 O 0.167 0.389 0.778 1
O5 O 0.598 0.356 0.758 1
O6 O 0.598 0.839 0.242 1
O7 O 0.603 0.850 0.753 1
O8 O 0.611 0.389 0.222 1
```

---

No. 8
The following is a DFT calculation (GGA-PBEsol) of a relaxed Li2Cu2S3O12 crystal.

Computed properties:
Formation energy from raw total energies   -1.3723 eV per atom
Total moment   4.1 μB/cell
Final energy   -114.82 eV/f.u.

CIF file:
```
data_Li2Cu2S3O12
_cell_length_a 7.834
_cell_length_b 7.834
_cell_length_c 9.179
_cell_angle_alpha 115.73
_cell_angle_beta 115.73
_cell_angle_gamma 64.21
_symmetry_space_group_name_H-M 'P 1'
_symmetry_Int_Tables_number 1
loop_
_symmetry_equiv_pos_as_xyz
'x,y,z'
loop_
_atom_site_label
_atom_site_type_symbol
_atom_site_fract_x
_atom_site_fract_y
_atom_site_fract_z
_atom_site_occupancy
Li1 Li 0.138 0.323 0.044 1
Li2 Li 0.323 0.138 0.544 1
Li3 Li 0.677 0.862 0.456 1
Li4 Li 0.862 0.677 0.956 1
Cu1 Cu 0.135 0.635 0.467 1
Cu2 Cu 0.365 0.865 0.033 1
Cu3 Cu 0.635 0.135 0.967 1
Cu4 Cu 0.865 0.365 0.533 1
S1 S 0.044 0.956 0.250 1
S2 S 0.244 0.460 0.829 1
S3 S 0.460 0.244 0.329 1
S4 S 0.540 0.756 0.671 1
S5 S 0.756 0.540 0.171 1
S6 S 0.956 0.044 0.750 1
O1 O 0.031 0.146 0.396 1
O2 O 0.070 0.790 0.298 1
O3 O 0.109 0.452 0.651 1
O4 O 0.139 0.507 0.947 1
O5 O 0.146 0.031 0.896 1
O6 O 0.210 0.930 0.202 1
O7 O 0.254 0.389 0.308 1
O8 O 0.349 0.604 0.881 1
O9 O 0.389 0.254 0.808 1
O10 O 0.396 0.651 0.619 1
O11 O 0.452 0.109 0.151 1
O12 O 0.493 0.861 0.553 1
O13 O 0.507 0.139 0.447 1
O14 O 0.548 0.891 0.849 1
O15 O 0.604 0.349 0.381 1
O16 O 0.611 0.746 0.192 1
O17 O 0.651 0.396 0.119 1
O18 O 0.746 0.611 0.692 1
O19 O 0.790 0.070 0.798 1
O20 O 0.854 0.969 0.104 1
O21 O 0.861 0.493 0.053 1
O22 O 0.891 0.548 0.349 1
O23 O 0.930 0.210 0.702 1
O24 O 0.969 0.854 0.604 1
```

---

Q: Which value of total moment does entry 6 give?
A: 8.0 μB/cell